Computed, not measured: a relaxed structure of Sm2DyHg6 at the GGA-PBE level of DFT.

Values from the calculation:
N(E_F) in states/eV/cell: 6.6
Formation enthalpy at 0 K in eV/atom: -0.41
SG: P6/mmm
Energy in eV/atom: -2.17

a = 8.6567 Å, b = 8.6567 Å, c = 3.4554 Å
α = 90.00°, β = 90.00°, γ = 120.00°
Closest atoms and distances in Å follow each position.
Sites, in units of the cell vectors:
Sm 0.3333 0.6667 0.0000  12 Hg 3.37, 2 Sm 3.46
Sm 0.6667 0.3333 0.0000  12 Hg 3.37, 2 Sm 3.46
Dy 0.0000 0.0000 0.0000  12 Hg 3.35, 2 Dy 3.46
Hg 0.0000 0.3319 0.5000  3 Hg 2.87-2.91
Hg 0.0000 0.6681 0.5000  3 Hg 2.87-2.91
Hg 0.3319 0.0000 0.5000  3 Hg 2.87-2.91
Hg 0.3319 0.3319 0.5000  3 Hg 2.87-2.91
Hg 0.6681 0.0000 0.5000  3 Hg 2.87-2.91
Hg 0.6681 0.6681 0.5000  3 Hg 2.87-2.91